# 1
## TbPmHo2Tm4 (PBE)

Data for a relaxed structure of TbPmHo2Tm4.

a = 9.435 Å, b = 9.435 Å, c = 11.665 Å
α = 128.19°, β = 128.19°, γ = 88.86°
Sites, in units of the cell vectors:
Tb: 0.500 0.500 0.500
Tb: 0.000 0.000 0.000
Pm: 0.000 0.500 0.000
Pm: 0.000 0.500 0.500
Ho: 0.500 0.000 0.000
Ho: 0.500 0.000 0.500
Ho: 0.000 0.000 0.500
Ho: 0.500 0.500 0.000
Tm: 0.252 0.750 0.001
Tm: 0.750 0.248 0.499
Tm: 0.250 0.752 0.501
Tm: 0.748 0.250 0.999
Tm: 0.748 0.751 0.000
Tm: 0.749 0.752 0.500
Tm: 0.251 0.248 0.500
Tm: 0.252 0.249 0.000

Summary:
- space group = Imma (74)
- DOS(E_F) (states/eV per atom) = 2.130
- energy relative to the elements (eV/atom) = 0.448

=====

# 2
## AlGa4Fe (PBE)

Data for a relaxed structure of AlGa4Fe.

a = 6.313 Å, b = 6.313 Å, c = 6.568 Å
α = 118.72°, β = 118.72°, γ = 90.00°
Sites, in units of the cell vectors:
Al: 0.500 0.500 0.000
Al: 0.000 0.000 0.000
Ga: 0.487 0.987 0.287
Ga: 0.987 0.800 0.287
Ga: 0.300 0.487 0.287
Ga: 0.700 0.513 0.713
Ga: 0.013 0.200 0.713
Ga: 0.513 0.013 0.713
Ga: 0.200 0.700 0.713
Ga: 0.800 0.300 0.287
Fe: 0.250 0.250 0.500
Fe: 0.750 0.750 0.500

Summary:
- space group = I4/mcm (140)
- DOS(E_F) (states/eV per atom) = 0.636
- energy relative to the elements (eV/atom) = -0.118
- energy above the most stable polymorph in this dataset (meV/atom) = 0

=====

# 3
## Pu2BiO3 (PBE)

Data for a relaxed structure of Pu2BiO3.

a = 3.193 Å, b = 6.059 Å, c = 6.059 Å
α = 120.00°, β = 90.00°, γ = 90.00°
Sites, in units of the cell vectors:
Pu: 0.000 0.333 0.667
Pu: 0.000 0.667 0.333
Bi: 0.000 0.000 0.000
O: 0.500 0.500 0.000
O: 0.500 0.500 0.500
O: 0.500 0.000 0.500

Summary:
- space group = P6/mmm (191)
- DOS(E_F) (states/eV per atom) = 1.905
- E_form (uncorrected) (eV/atom) = -2.21